Entry w
VASP calculation (PBE) on crystalline CuBr2Cl at its relaxed geometry.

```
CuBr2Cl
1.0
5.086 0.000 0.000
0.000 5.086 0.000
0.000 0.000 3.373
Cu Br Cl
1 2 1
direct
0.000 0.500 0.500
0.000 0.000 0.000
0.500 0.500 0.000
0.500 0.000 0.500
```

## Properties
**Calculated volume**: 87.2 Å³/f.u.
**DOS(E_F)**: 6.17 states/eV/f.u.

Entry x
VASP calculation (PBE) on crystalline CuBr2Cl at its relaxed geometry.

```
CuBr2Cl
1.0
-3.889 -0.877 4.330
4.690 -0.252 3.547
-3.416 3.567 -3.201
Cu Br Cl
1 2 1
direct
0.250 0.750 0.500
0.052 0.052 0.000
0.448 0.448 0.000
0.750 0.250 0.500
```

## Properties
**Calculated volume**: 112.2 Å³/f.u.
**DOS(E_F)**: 0.81 states/eV/f.u.

From most stable to least stable, the computed energies give entry x, entry w.